Here is an optimized crystal structure of SrFeCuF6 from Alexandria via LeMat-Bulk. Energies are from GGA+U.

a b c (Å): 5.197 5.461 5.461
angles (deg): 120.00 90.00 90.00
Atoms (fractional coordinates):
F1 0.284 0.323 0.301
F2 0.284 0.699 0.022
Sr1 0.000 0.333 0.667
Fe1 0.500 0.000 0.000
Cu1 0.500 0.667 0.333
F3 0.716 0.323 0.022
F4 0.716 0.699 0.677
F5 0.716 0.978 0.301
F6 0.284 0.978 0.677

Computed properties:
- magnetic moment (μB/cell) = 5.00
- total DFT energy (no corrections) (eV/atom) = -5.138
- crystal system = trigonal